The following is a PBE-GGA calculation of a geometry-optimized Al2HgC structure, from Alexandria.

The structure belongs to space group Fm-3m (No. 225); the cell edges are 6.352, 6.352 and 6.352 Å and the angles 90.00°, 90.00° and 90.00°. Symmetry generates all atoms from Al at (0.250, 0.250, 0.250), Hg at (0.000, 0.000, 0.000) and C at (0.000, 0.000, 0.500).

For the formation energy from the elements, the calculation gives 1.236 eV/atom. The calculation puts the final energy at -12.07 eV/f.u.